No. 1
Below is a geometry-optimized NpPaNb structure, with properties calculated at the PBE level.

Symmetry: No. 216
Energy of formation, eV/f.u.: 2.63

Cell: 4.5911 4.5911 4.5911 Å, 60.00 60.00 60.00°
With the nearest neighbours (Å) after each atom.
Fractional coordinates of all 3 atoms:
Np  0.0000  0.0000  0.0000  4 Pa 2.81
Pa  0.7500  0.7500  0.7500  4 Nb 2.81, 4 Np 2.81
Nb  0.5000  0.5000  0.5000  4 Pa 2.81



No. 2
Below is a geometry-optimized NpNbSb structure, with properties calculated at the PBE level.

Total DFT energy (no corrections), eV per atom: -8.632
Symmetry: No. 216

Cell: 4.7209 4.7209 4.7209 Å, 60.00 60.00 60.00°
With the nearest neighbours (Å) after each atom.
Fractional coordinates of all 3 atoms:
Np  0.0000  0.0000  0.0000  4 Nb 2.89
Nb  0.2500  0.2500  0.2500  4 Sb 2.89, 4 Np 2.89
Sb  0.5000  0.5000  0.5000  4 Nb 2.89



No. 3
Below is a geometry-optimized NpNbSi structure, with properties calculated at the PBE level.

Total DFT energy (no corrections), eV per atom: -9.185
Symmetry: No. 216

Cell: 4.4924 4.4924 4.4924 Å, 60.00 60.00 60.00°
With the nearest neighbours (Å) after each atom.
Fractional coordinates of all 3 atoms:
Np  0.0000  0.0000  0.0000  4 Si 2.75
Nb  0.5000  0.5000  0.5000  4 Si 2.75
Si  0.7500  0.7500  0.7500  4 Nb 2.75, 4 Np 2.75



No. 4
Below is a geometry-optimized SmNpNb structure, with properties calculated at the PBE level.

Distance to the lowest polymorph of the same formula, kcal/mol of atoms: 0.00
Symmetry: No. 216
Energy of formation, eV/f.u.: 3.01

Cell: 4.8094 4.8094 4.8094 Å, 60.00 60.00 60.00°
With the nearest neighbours (Å) after each atom.
Fractional coordinates of all 3 atoms:
Sm  0.0000  0.0000  0.0000  4 Nb 2.95
Np  0.5000  0.5000  0.5000  4 Nb 2.95
Nb  0.7500  0.7500  0.7500  4 Np 2.95, 4 Sm 2.95



No. 5
Below is a geometry-optimized NpNbTc structure, with properties calculated at the PBE level.

Symmetry: No. 216
Energy of formation, eV/f.u.: 2.10

Cell: 4.3929 4.3929 4.3929 Å, 60.00 60.00 60.00°
With the nearest neighbours (Å) after each atom.
Fractional coordinates of all 3 atoms:
Np  0.0000  0.0000  0.0000  4 Nb 2.69
Nb  0.2500  0.2500  0.2500  4 Tc 2.69, 4 Np 2.69
Tc  0.5000  0.5000  0.5000  4 Nb 2.69



No. 6
Below is a geometry-optimized ThNpNb structure, with properties calculated at the PBE level.

Distance to the lowest polymorph of the same formula, kcal/mol of atoms: 0.00
Symmetry: No. 216
Energy of formation, eV/f.u.: 2.54

Cell: 4.8468 4.8468 4.8468 Å, 60.00 60.00 60.00°
With the nearest neighbours (Å) after each atom.
Fractional coordinates of all 3 atoms:
Th  0.0000  0.0000  0.0000  4 Nb 2.97
Np  0.5000  0.5000  0.5000  4 Nb 2.97
Nb  0.7500  0.7500  0.7500  4 Np 2.97, 4 Th 2.97



No. 7
Below is a geometry-optimized NpNbTl structure, with properties calculated at the PBE level.

Distance to the lowest polymorph of the same formula, kcal/mol of atoms: 0.00
Symmetry: No. 216

Cell: 4.7450 4.7450 4.7450 Å, 60.00 60.00 60.00°
With the nearest neighbours (Å) after each atom.
Fractional coordinates of all 3 atoms:
Np  0.0000  0.0000  0.0000  4 Nb 2.91
Nb  0.2500  0.2500  0.2500  4 Tl 2.91, 4 Np 2.91
Tl  0.5000  0.5000  0.5000  4 Nb 2.91



No. 8
Below is a geometry-optimized NpUNb structure, with properties calculated at the PBE level.

Distance to the lowest polymorph of the same formula, kcal/mol of atoms: 0.00
Symmetry: No. 216
Energy of formation, eV/f.u.: 2.34

Cell: 4.4951 4.4951 4.4951 Å, 60.00 60.00 60.00°
With the nearest neighbours (Å) after each atom.
Fractional coordinates of all 3 atoms:
Np  0.0000  0.0000  0.0000  4 U 2.75
U  0.7500  0.7500  0.7500  4 Np 2.75, 4 Nb 2.75
Nb  0.5000  0.5000  0.5000  4 U 2.75



No. 9
Below is a geometry-optimized ZrNpNb structure, with properties calculated at the PBE level.

Distance to the lowest polymorph of the same formula, kcal/mol of atoms: 0.00
Symmetry: No. 216
Energy of formation, eV/f.u.: 2.43

Cell: 4.6284 4.6284 4.6284 Å, 60.00 60.00 60.00°
With the nearest neighbours (Å) after each atom.
Fractional coordinates of all 3 atoms:
Zr  0.0000  0.0000  0.0000  4 Nb 2.83
Np  0.5000  0.5000  0.5000  4 Nb 2.83
Nb  0.7500  0.7500  0.7500  4 Zr 2.83, 4 Np 2.83



No. 10
Below is a geometry-optimized NbO structure, with properties calculated at the PBE level.

Total DFT energy (no corrections), eV per atom: -8.705
Symmetry: No. 216

Cell: 3.4054 3.4054 3.4054 Å, 60.00 60.00 60.00°
With the nearest neighbours (Å) after each atom.
Fractional coordinates of all 2 atoms:
Nb  0.0000  0.0000  0.0000  4 O 2.09
O  0.7500  0.7500  0.7500  4 Nb 2.09



No. 11
Below is a geometry-optimized NbO2 structure, with properties calculated at the PBE level.

Total DFT energy (no corrections), eV per atom: -8.778
Symmetry: No. 224

Cell: 4.4388 4.4388 4.4388 Å, 90.00 90.00 90.00°
With the nearest neighbours (Å) after each atom.
Fractional coordinates of all 6 atoms:
Nb  0.2500  0.2500  0.2500  4 O 1.92
Nb  0.7500  0.7500  0.7500  4 O 1.92
O  0.0000  0.0000  0.0000  2 Nb 1.92
O  0.0000  0.5000  0.5000  2 Nb 1.92
O  0.5000  0.0000  0.5000  2 Nb 1.92
O  0.5000  0.5000  0.0000  2 Nb 1.92



No. 12
Below is a geometry-optimized NbO2 structure, with properties calculated at the PBE level.

Total DFT energy (no corrections), eV per atom: -8.851
Symmetry: No. 227

Cell: 6.2335 6.2335 6.2335 Å, 60.00 60.00 60.00°
With the nearest neighbours (Å) after each atom.
Fractional coordinates of all 6 atoms:
Nb  0.1250  0.1250  0.1250  4 O 1.91
Nb  0.8750  0.8750  0.8750  4 O 1.91
O  0.0000  0.0000  0.0000  2 Nb 1.91
O  0.0000  0.0000  0.5000  2 Nb 1.91
O  0.0000  0.5000  0.0000  2 Nb 1.91
O  0.5000  0.0000  0.0000  2 Nb 1.91